Computed, not measured: a relaxed structure of RbPrSm2 at the PBE-GGA level of DFT.

```
RbPrSm2
1.0
1.8555 1.0713 13.5821
-1.8555 1.0713 13.5821
0.0000 -2.1425 13.5821
Rb Pr Sm
1 1 2
direct
0.0000 0.0000 0.0000 Rb
0.5000 0.5000 0.5000 Pr
0.0950 0.0950 0.0950 Sm
0.9050 0.9050 0.9050 Sm
```

Computed properties:
Formation energy: 268 meV per atom
Total magnetization: 0.0 μB per cell
Raw total energy: -3.53 eV/atom